La4TaN5 | GGA-PBE | relaxed

Calculated values
The value obtained for the total magnetization is 0.00 Bohr magnetons per cell. The value obtained for the uncorrected formation energy is -1.312 eV/atom. The density of states at the Fermi level comes out at 0.32 states/eV/atom. The value obtained for the electronic total energy is -86.31 eV per formula unit.

Unit cell a=6.231 b=6.231 c=6.231 alpha=100.55 beta=100.55 gamma=129.33
Fractional positions:
1 La 0.108 0.304 0.412
2 La 0.304 0.892 0.195
3 La 0.696 0.108 0.805
4 La 0.892 0.696 0.588
5 Ta 0.556 0.556 0.000
6 N 0.247 0.591 0.831
7 N 0.417 0.247 0.656
8 N 0.591 0.761 0.344
9 N 0.761 0.417 0.169
10 N 0.917 0.917 0.000



LaTaN3 | GGA-PBE | relaxed

Calculated values
The value obtained for the total magnetization is 0.00 Bohr magnetons per cell. The value obtained for the uncorrected formation energy is -1.167 eV/atom. The density of states at the Fermi level comes out at 0.00 states/eV/atom. The value obtained for the electronic total energy is -47.59 eV per formula unit.

Unit cell a=7.110 b=5.756 c=8.330 alpha=90.00 beta=125.68 gamma=90.00
Fractional positions:
1 La 0.239 0.244 0.123
2 La 0.239 0.256 0.623
3 La 0.761 0.744 0.377
4 La 0.761 0.756 0.877
5 Ta 0.228 0.725 0.359
6 Ta 0.228 0.775 0.859
7 Ta 0.772 0.225 0.141
8 Ta 0.772 0.275 0.641
9 N 0.061 0.037 0.291
10 N 0.061 0.463 0.791
11 N 0.269 0.734 0.636
12 N 0.269 0.766 0.136
13 N 0.421 0.099 0.962
14 N 0.421 0.401 0.462
15 N 0.579 0.599 0.538
16 N 0.579 0.901 0.038
17 N 0.731 0.234 0.864
18 N 0.731 0.266 0.364
19 N 0.939 0.537 0.209
20 N 0.939 0.963 0.709



LaTaN3 | GGA-PBE | relaxed

Calculated values
The value obtained for the total magnetization is 0.00 Bohr magnetons per cell. The value obtained for the uncorrected formation energy is -1.091 eV/atom. The density of states at the Fermi level comes out at 0.00 states/eV/atom. The value obtained for the electronic total energy is -47.21 eV per formula unit.

Unit cell a=5.672 b=5.676 c=5.787 alpha=94.65 beta=109.27 gamma=114.49
Fractional positions:
1 La 0.000 0.000 0.000
2 La 0.477 0.284 0.695
3 Ta 0.626 0.783 0.356
4 Ta 0.896 0.410 0.387
5 N 0.263 0.516 0.361
6 N 0.468 0.068 0.261
7 N 0.612 0.052 0.092
8 N 0.714 0.594 0.118
9 N 0.841 0.643 0.627
10 N 0.956 0.162 0.619